<i>
Computed, not measured: a relaxed structure of CdRe3S at the PBE-GGA level of DFT.

Cell: 4.3979 4.3979 4.3979 Å, 90.00 90.00 90.00°
Sites, in units of the cell vectors:
Re 0.0000 0.5000 0.0000
Re 0.5000 0.0000 0.0000
Re 0.0000 0.0000 0.5000
Cd 0.5000 0.5000 0.5000
S 0.0000 0.0000 0.0000

For the density, the calculation gives 13.73 g cm⁻³.

---

<ii>
Computed, not measured: a relaxed structure of CdRe3S at the PBE-GGA level of DFT.

Cell: 4.8612 4.8612 4.8612 Å, 90.00 90.00 90.00°
Last column: magnetic moment on the atom in μB.
Sites, in units of the cell vectors:
Cd 0.0000 0.0000 0.0000  0.02
Re 0.5000 0.0000 0.0000  0.89
Re 0.0000 0.0000 0.5000  1.08
Re 0.0000 0.5000 0.0000  0.97
S 0.5000 0.5000 0.5000  -0.12

For the density, the calculation gives 10.16 g cm⁻³.

---

Energies relative to the minimum, meV/atom: <i> 0; <ii> 2566

---

<i>
Computed, not measured: a relaxed structure of ScCd2Re at the PBE-GGA level of DFT.

Cell: 9.7931 9.7931 9.7931 Å, 18.13 18.13 18.13°
Sites, in units of the cell vectors:
Re 0.5040 0.5040 0.5040
Cd 0.7561 0.7561 0.7561
Cd 0.9986 0.9986 0.9986
Sc 0.2413 0.2413 0.2413

For the density, the calculation gives 9.53 g cm⁻³.

---

<ii>
Computed, not measured: a relaxed structure of ScCd2Re at the PBE-GGA level of DFT.

Cell: 4.0535 4.0535 4.5551 Å, 90.00 90.00 90.00°
Sites, in units of the cell vectors:
Re 0.5000 0.0000 0.5000
Cd 0.0000 0.0000 0.0000
Cd 0.5000 0.5000 0.0000
Sc 0.0000 0.5000 0.5000

For the density, the calculation gives 10.12 g cm⁻³.

---

<iii>
Computed, not measured: a relaxed structure of ScCd2Re at the PBE-GGA level of DFT.

Cell: 2.9485 2.9485 8.9384 Å, 90.00 90.00 90.00°
Sites, in units of the cell vectors:
Re 0.0000 0.0000 0.5054
Cd 0.5000 0.5000 0.2678
Cd 0.0000 0.0000 0.0016
Sc 0.5000 0.5000 0.7251

For the density, the calculation gives 9.74 g cm⁻³.

---

Energies relative to the minimum, meV/atom: <i> 54; <ii> 21; <iii> 0